The following is a PBE calculation of an optimized crystal structure of Ti12Fe3Re5, from the Alexandria database.

Summary:
Calculated density   7.3 Mg/m³

Geometry as CIF:
```
data_Ti12Fe3Re5
_chemical_formula_sum 'Ti48 Fe12 Re20'
_space_group_name_H-M_alt 'P 1'
_space_group_IT_number 1
_cell_length_a 12.542
_cell_length_b 12.542
_cell_length_c 12.542
_cell_angle_alpha 109.47
_cell_angle_beta 109.47
_cell_angle_gamma 109.47
loop_
_space_group_symop_operation_xyz
'x,y,z'
loop_
_atom_site_label
_atom_site_fract_x
_atom_site_fract_y
_atom_site_fract_z
Ti1 0.061 0.230 0.126
Ti2 0.061 0.331 0.934
Ti3 0.066 0.626 0.397
Ti4 0.066 0.939 0.669
Ti5 0.103 0.730 0.669
Ti6 0.103 0.874 0.434
Ti7 0.126 0.061 0.230
Ti8 0.126 0.566 0.897
Ti9 0.169 0.230 0.603
Ti10 0.169 0.439 0.566
Ti11 0.230 0.126 0.061
Ti12 0.230 0.603 0.169
Ti13 0.270 0.331 0.897
Ti14 0.270 0.439 0.374
Ti15 0.331 0.897 0.270
Ti16 0.331 0.934 0.061
Ti17 0.374 0.270 0.439
Ti18 0.374 0.603 0.934
Ti19 0.397 0.066 0.626
Ti20 0.397 0.831 0.770
Ti21 0.434 0.103 0.874
Ti22 0.434 0.831 0.561
Ti23 0.439 0.374 0.270
Ti24 0.439 0.566 0.169
Ti25 0.561 0.434 0.831
Ti26 0.561 0.626 0.730
Ti27 0.566 0.169 0.439
Ti28 0.566 0.897 0.126
Ti29 0.603 0.169 0.230
Ti30 0.603 0.934 0.374
Ti31 0.626 0.397 0.066
Ti32 0.626 0.730 0.561
Ti33 0.669 0.066 0.939
Ti34 0.669 0.103 0.730
Ti35 0.730 0.561 0.626
Ti36 0.730 0.669 0.103
Ti37 0.770 0.397 0.831
Ti38 0.770 0.874 0.939
Ti39 0.831 0.561 0.434
Ti40 0.831 0.770 0.397
Ti41 0.874 0.434 0.103
Ti42 0.874 0.939 0.770
Ti43 0.897 0.126 0.566
Ti44 0.897 0.270 0.331
Ti45 0.934 0.061 0.331
Ti46 0.934 0.374 0.603
Ti47 0.939 0.669 0.066
Ti48 0.939 0.770 0.874
Fe1 0.125 0.250 0.375
Fe2 0.125 0.375 0.750
Fe3 0.250 0.375 0.125
Fe4 0.250 0.875 0.625
Fe5 0.375 0.125 0.250
Fe6 0.375 0.750 0.125
Fe7 0.625 0.250 0.875
Fe8 0.625 0.875 0.750
Fe9 0.750 0.125 0.375
Fe10 0.750 0.625 0.875
Fe11 0.875 0.625 0.250
Fe12 0.875 0.750 0.625
Re1 0.000 0.000 0.000
Re2 0.000 0.000 0.500
Re3 0.000 0.500 0.000
Re4 0.000 0.500 0.500
Re5 0.125 0.750 0.875
Re6 0.125 0.875 0.250
Re7 0.250 0.125 0.875
Re8 0.250 0.625 0.375
Re9 0.375 0.250 0.625
Re10 0.375 0.625 0.750
Re11 0.500 0.000 0.000
Re12 0.500 0.000 0.500
Re13 0.500 0.500 0.000
Re14 0.500 0.500 0.500
Re15 0.625 0.375 0.250
Re16 0.625 0.750 0.375
Re17 0.750 0.375 0.625
Re18 0.750 0.875 0.125
Re19 0.875 0.125 0.750
Re20 0.875 0.250 0.125
```

The following is a PBE calculation of an optimized crystal structure of TiFeRe, from the Alexandria database.

Summary:
Calculated density   11.5 Mg/m³
Energy above the most stable polymorph in this dataset   52 meV per atom

Geometry as CIF:
```
data_TiFeRe
_chemical_formula_sum 'Ti2 Fe2 Re2'
_space_group_name_H-M_alt 'P 1'
_space_group_IT_number 1
_cell_length_a 4.994
_cell_length_b 4.994
_cell_length_c 5.239
_cell_angle_alpha 120.33
_cell_angle_beta 120.33
_cell_angle_gamma 50.72
loop_
_space_group_symop_operation_xyz
'x,y,z'
loop_
_atom_site_label
_atom_site_fract_x
_atom_site_fract_y
_atom_site_fract_z
Ti1 0.162 0.162 0.325
Ti2 0.838 0.838 0.675
Fe1 0.171 0.171 0.839
Fe2 0.829 0.829 0.161
Re1 0.500 0.500 0.000
Re2 0.500 0.500 0.500
```

The following is a PBE calculation of an optimized crystal structure of TiFe4Re, from the Alexandria database.

Summary:
Calculated density   10.3 Mg/m³

Geometry as CIF:
```
data_TiFe4Re
_chemical_formula_sum 'Ti1 Fe4 Re1'
_space_group_name_H-M_alt 'P 1'
_space_group_IT_number 1
_cell_length_a 4.708
_cell_length_b 4.708
_cell_length_c 4.708
_cell_angle_alpha 60.00
_cell_angle_beta 60.00
_cell_angle_gamma 60.00
loop_
_space_group_symop_operation_xyz
'x,y,z'
loop_
_atom_site_label
_atom_site_fract_x
_atom_site_fract_y
_atom_site_fract_z
Ti1 0.000 0.000 0.000
Fe1 0.375 0.375 0.375
Fe2 0.375 0.375 0.875
Fe3 0.375 0.875 0.375
Fe4 0.875 0.375 0.375
Re1 0.750 0.750 0.750
```

The following is a PBE calculation of an optimized crystal structure of Ti3Fe2Re, from the Alexandria database.

Summary:
Calculated density   8.9 Mg/m³

Geometry as CIF:
```
data_Ti3Fe2Re
_chemical_formula_sum 'Ti3 Fe2 Re1'
_space_group_name_H-M_alt 'P 1'
_space_group_IT_number 1
_cell_length_a 3.018
_cell_length_b 3.018
_cell_length_c 9.060
_cell_angle_alpha 90.00
_cell_angle_beta 90.00
_cell_angle_gamma 90.00
loop_
_space_group_symop_operation_xyz
'x,y,z'
loop_
_atom_site_label
_atom_site_fract_x
_atom_site_fract_y
_atom_site_fract_z
Ti1 0.000 0.000 0.000
Ti2 0.000 0.000 0.325
Ti3 0.000 0.000 0.675
Fe1 0.500 0.500 0.160
Fe2 0.500 0.500 0.840
Re1 0.500 0.500 0.500
```

The following is a PBE calculation of an optimized crystal structure of TiFeRe, from the Alexandria database.

Summary:
Calculated density   11.0 Mg/m³
Energy above the most stable polymorph in this dataset   0 meV per atom

Geometry as CIF:
```
data_TiFeRe
_chemical_formula_sum 'Ti4 Fe4 Re4'
_space_group_name_H-M_alt 'P 1'
_space_group_IT_number 1
_cell_length_a 8.156
_cell_length_b 4.958
_cell_length_c 4.958
_cell_angle_alpha 60.64
_cell_angle_beta 90.00
_cell_angle_gamma 90.00
loop_
_space_group_symop_operation_xyz
'x,y,z'
loop_
_atom_site_label
_atom_site_fract_x
_atom_site_fract_y
_atom_site_fract_z
Ti1 0.184 0.000 0.000
Ti2 0.308 0.331 0.331
Ti3 0.692 0.331 0.331
Ti4 0.816 0.000 0.000
Fe1 0.000 0.019 0.490
Fe2 0.000 0.490 0.019
Fe3 0.000 0.491 0.491
Fe4 0.500 0.836 0.836
Re1 0.237 0.669 0.669
Re2 0.500 0.323 0.835
Re3 0.500 0.835 0.323
Re4 0.763 0.669 0.669
```

The following is a PBE calculation of an optimized crystal structure of Ti4Fe3Re, from the Alexandria database.

Summary:
Calculated density   8.4 Mg/m³

Geometry as CIF:
```
data_Ti4Fe3Re
_chemical_formula_sum 'Ti4 Fe3 Re1'
_space_group_name_H-M_alt 'P 1'
_space_group_IT_number 1
_cell_length_a 3.003
_cell_length_b 3.003
_cell_length_c 12.018
_cell_angle_alpha 90.00
_cell_angle_beta 90.00
_cell_angle_gamma 90.00
loop_
_space_group_symop_operation_xyz
'x,y,z'
loop_
_atom_site_label
_atom_site_fract_x
_atom_site_fract_y
_atom_site_fract_z
Ti1 0.000 0.000 0.123
Ti2 0.000 0.000 0.368
Ti3 0.000 0.000 0.632
Ti4 0.000 0.000 0.877
Fe1 0.500 0.500 0.000
Fe2 0.500 0.500 0.242
Fe3 0.500 0.500 0.758
Re1 0.500 0.500 0.500
```

The following is a PBE calculation of an optimized crystal structure of Ti4FeRe3, from the Alexandria database.

Summary:
Calculated density   11.4 Mg/m³

Geometry as CIF:
```
data_Ti4FeRe3
_chemical_formula_sum 'Ti4 Fe1 Re3'
_space_group_name_H-M_alt 'P 1'
_space_group_IT_number 1
_cell_length_a 3.080
_cell_length_b 3.080
_cell_length_c 12.397
_cell_angle_alpha 90.00
_cell_angle_beta 90.00
_cell_angle_gamma 90.00
loop_
_space_group_symop_operation_xyz
'x,y,z'
loop_
_atom_site_label
_atom_site_fract_x
_atom_site_fract_y
_atom_site_fract_z
Ti1 0.000 0.000 0.118
Ti2 0.000 0.000 0.372
Ti3 0.000 0.000 0.628
Ti4 0.000 0.000 0.882
Fe1 0.500 0.500 0.000
Re1 0.500 0.500 0.245
Re2 0.500 0.500 0.500
Re3 0.500 0.500 0.755
```

The following is a PBE calculation of an optimized crystal structure of Ti3FeRe, from the Alexandria database.

Summary:
Calculated density   7.7 Mg/m³
Energy above the most stable polymorph in this dataset   0 meV per atom

Geometry as CIF:
```
data_Ti3FeRe
_chemical_formula_sum 'Ti3 Fe1 Re1'
_space_group_name_H-M_alt 'P 1'
_space_group_IT_number 1
_cell_length_a 4.371
_cell_length_b 4.371
_cell_length_c 4.371
_cell_angle_alpha 90.00
_cell_angle_beta 90.00
_cell_angle_gamma 90.00
loop_
_space_group_symop_operation_xyz
'x,y,z'
loop_
_atom_site_label
_atom_site_fract_x
_atom_site_fract_y
_atom_site_fract_z
Ti1 0.000 0.000 0.500
Ti2 0.000 0.500 0.000
Ti3 0.500 0.000 0.000
Fe1 0.000 0.000 0.000
Re1 0.500 0.500 0.500
```

The following is a PBE calculation of an optimized crystal structure of Ti4FeRe2, from the Alexandria database.

Summary:
Calculated density   8.5 Mg/m³

Geometry as CIF:
```
data_Ti4FeRe2
_chemical_formula_sum 'Ti4 Fe1 Re2'
_space_group_name_H-M_alt 'P 1'
_space_group_IT_number 1
_cell_length_a 7.043
_cell_length_b 7.043
_cell_length_c 7.043
_cell_angle_alpha 143.79
_cell_angle_beta 143.79
_cell_angle_gamma 52.14
loop_
_space_group_symop_operation_xyz
'x,y,z'
loop_
_atom_site_label
_atom_site_fract_x
_atom_site_fract_y
_atom_site_fract_z
Ti1 0.000 0.500 0.500
Ti2 0.188 0.188 0.000
Ti3 0.500 0.000 0.500
Ti4 0.812 0.812 0.000
Fe1 0.000 0.000 0.000
Re1 0.378 0.378 0.000
Re2 0.622 0.622 0.000
```

The following is a PBE calculation of an optimized crystal structure of TiFe8Re3, from the Alexandria database.

Summary:
Calculated density   12.2 Mg/m³

Geometry as CIF:
```
data_TiFe8Re3
_chemical_formula_sum 'Ti1 Fe8 Re3'
_space_group_name_H-M_alt 'P 1'
_space_group_IT_number 1
_cell_length_a 4.644
_cell_length_b 4.644
_cell_length_c 7.696
_cell_angle_alpha 90.00
_cell_angle_beta 90.00
_cell_angle_gamma 120.00
loop_
_space_group_symop_operation_xyz
'x,y,z'
loop_
_atom_site_label
_atom_site_fract_x
_atom_site_fract_y
_atom_site_fract_z
Ti1 0.000 0.000 0.000
Fe1 0.163 0.325 0.683
Fe2 0.163 0.837 0.683
Fe3 0.333 0.667 0.433
Fe4 0.333 0.667 0.933
Fe5 0.504 0.007 0.182
Fe6 0.504 0.496 0.182
Fe7 0.675 0.837 0.683
Fe8 0.993 0.496 0.182
Re1 0.000 0.000 0.370
Re2 0.667 0.333 0.497
Re3 0.667 0.333 0.854
```

The following is a PBE calculation of an optimized crystal structure of TiVFeRe, from the Alexandria database.

Summary:
Calculated density   10.5 Mg/m³

Geometry as CIF:
```
data_TiVFeRe
_chemical_formula_sum 'Ti1 V1 Fe1 Re1'
_space_group_name_H-M_alt 'P 1'
_space_group_IT_number 1
_cell_length_a 4.245
_cell_length_b 4.245
_cell_length_c 4.245
_cell_angle_alpha 60.00
_cell_angle_beta 60.00
_cell_angle_gamma 60.00
loop_
_space_group_symop_operation_xyz
'x,y,z'
loop_
_atom_site_label
_atom_site_fract_x
_atom_site_fract_y
_atom_site_fract_z
Ti1 0.000 0.000 0.000
V1 0.500 0.500 0.500
Fe1 0.250 0.250 0.250
Re1 0.750 0.750 0.750
```

The following is a PBE calculation of an optimized crystal structure of TiVFeRe, from the Alexandria database.

Summary:
Calculated density   10.4 Mg/m³

Geometry as CIF:
```
data_TiVFeRe
_chemical_formula_sum 'Ti1 V1 Fe1 Re1'
_space_group_name_H-M_alt 'P 1'
_space_group_IT_number 1
_cell_length_a 3.012
_cell_length_b 3.012
_cell_length_c 5.993
_cell_angle_alpha 90.00
_cell_angle_beta 90.00
_cell_angle_gamma 90.00
loop_
_space_group_symop_operation_xyz
'x,y,z'
loop_
_atom_site_label
_atom_site_fract_x
_atom_site_fract_y
_atom_site_fract_z
Ti1 0.000 0.000 0.000
V1 0.000 0.000 0.485
Fe1 0.500 0.500 0.245
Re1 0.500 0.500 0.729
```

The calculation returns the following DFT total energy values, one per record and in order: -164.3; -29.3; -54.8; -55.4; -29.5; -72.6; -80.4; -41.8; -61.2; -113.8; -39.2; -39.2 eV/f.u..
The calculation returns the following calculated formation energy values, one per record and in order: 902; -176; -98; -386; -228; -395; -379; 554; 538; -75; -321; -320 meV/atom.